(i)
Material: YMgIO2
Method: DFT, GGA-PBE
State: optimized geometry

It has space group P4/mmm (No. 123), with a = 4.211 Å, b = 4.211 Å, c = 5.092 Å, α = 90.00°, β = 90.00° and γ = 90.00°. Symmetry generates all atoms from Y at (0.000, 0.000, 0.000), Mg at (0.500, 0.500, 0.500), I at (0.500, 0.500, 0.000) and O at (0.000, 0.500, 0.500).


(ii)
Material: YMgIO2
Method: DFT, GGA-PBE
State: optimized geometry

It has space group P4/mmm (No. 123), with a = 4.364 Å, b = 4.364 Å, c = 6.202 Å, α = 90.00°, β = 90.00° and γ = 90.00°. Symmetry generates all atoms from Y at (0.000, 0.000, 0.000), Mg at (0.500, 0.500, 0.500), I at (0.000, 0.000, 0.500) and O at (0.000, 0.500, 0.000).


(ii) is favored, and the nearest alternative lies 265 meV/atom above it.


(i)
Material: YMgI2O
Method: DFT, GGA-PBE
State: optimized geometry

It has space group P4/mmm (No. 123), with a = 6.239 Å, b = 6.239 Å, c = 4.196 Å, α = 90.00°, β = 90.00° and γ = 90.00°. Symmetry generates all atoms from Y at (0.000, 0.000, 0.000), Mg at (0.500, 0.500, 0.500), I at (0.000, 0.500, 0.000) and O at (0.000, 0.000, 0.500).


(ii)
Material: YMgI2O
Method: DFT, GGA-PBE
State: optimized geometry

It has space group P4/mmm (No. 123), with a = 5.831 Å, b = 5.831 Å, c = 3.750 Å, α = 90.00°, β = 90.00° and γ = 90.00°. Symmetry generates all atoms from Y at (0.000, 0.000, 0.000), Mg at (0.500, 0.500, 0.500), I at (0.000, 0.500, 0.500) and O at (0.500, 0.500, 0.000).


(i) is favored, and the nearest alternative lies 219 meV/atom above it.


(i)
Material: MgZnI2O
Method: DFT, GGA-PBE
State: optimized geometry

It has space group P4/mmm (No. 123), with a = 5.771 Å, b = 5.771 Å, c = 3.754 Å, α = 90.00°, β = 90.00° and γ = 90.00°. Symmetry generates all atoms from Mg at (0.000, 0.000, 0.000), Zn at (0.500, 0.500, 0.500), I at (0.000, 0.500, 0.500) and O at (0.500, 0.500, 0.000).


(ii)
Material: MgZnI2O
Method: DFT, GGA-PBE
State: optimized geometry

It has space group P4/mmm (No. 123), with a = 5.840 Å, b = 5.840 Å, c = 3.776 Å, α = 90.00°, β = 90.00° and γ = 90.00°. Symmetry generates all atoms from Mg at (0.000, 0.000, 0.000), Zn at (0.500, 0.500, 0.500), I at (0.000, 0.500, 0.000) and O at (0.000, 0.000, 0.500).


(ii) is favored, and the nearest alternative lies 58 meV/atom above it.


(i)
Material: MgSb2OsI
Method: DFT, GGA-PBE
State: optimized geometry

It has space group P4/mmm (No. 123), with a = 5.083 Å, b = 5.083 Å, c = 5.889 Å, α = 90.00°, β = 90.00° and γ = 90.00°. Symmetry generates all atoms from Mg at (0.000, 0.000, 0.000), Sb at (0.000, 0.500, 0.500), Os at (0.500, 0.500, 0.500) and I at (0.500, 0.500, 0.000).


(ii)
Material: MgSb2OsI
Method: DFT, GGA-PBE
State: optimized geometry

It has space group P4/mmm (No. 123), with a = 5.368 Å, b = 5.368 Å, c = 5.334 Å, α = 90.00°, β = 90.00° and γ = 90.00°. Symmetry generates all atoms from Mg at (0.000, 0.000, 0.000), Sb at (0.000, 0.500, 0.000), Os at (0.500, 0.500, 0.500) and I at (0.000, 0.000, 0.500).


(i) is favored, and the nearest alternative lies 977 meV/atom above it.